Material: Na3ZrRe
Method: DFT, GGA-PBE
State: optimized geometry

Lattice parameters (Å, degrees): 5.417 5.417 5.417 90.00 90.00 90.00
Positions (direct):
Na 0.000 0.000 0.500
Na 0.000 0.500 0.000
Na 0.500 0.000 0.000
Zr 0.500 0.500 0.500
Re 0.000 0.000 0.000

Values from the calculation:
The symmetry is Pm-3m, No. 221. The calculation puts the formation energy at 190.6 kJ/mol of atoms. The calculation puts the density of states at the Fermi level at 5.7 states/eV/cell.